{"formula": "Pr6CoIr2Br3", "functional": "GGA-PBE", "state": "optimized geometry", "lattice": [[3.587, -6.215, 0.000], [3.587, 6.215, 0.000], [-2.387, 0.000, 7.851]], "species": ["Pr", "Pr", "Pr", "Pr", "Pr", "Pr", "Co", "Ir", "Ir", "Br", "Br", "Br"], "frac_coords": [[0.065, 0.389, 0.194], [0.260, 0.260, 0.806], [0.389, 0.065, 0.194], [0.611, 0.935, 0.806], [0.740, 0.740, 0.194], [0.935, 0.611, 0.806], [0.000, 0.000, 0.000], [0.333, 0.667, 0.000], [0.667, 0.333, 0.000], [0.165, 0.835, 0.500], [0.500, 0.500, 0.500], [0.835, 0.165, 0.500]], "e_form_raw_ev_per_atom": -0.959, "rho_g_cm3": 7.3, "volume_a3_per_atom": 29.2}